Compound: In2GaRe
Source: the Alexandria database
Functional: GGA-PBE
Structure: relaxed

Cell: 2.913 2.913 11.436 Å, 82.68 82.68 60.00°
Element x y z (fractional)
In (0.916, 0.916, 0.251)
In (0.084, 0.084, 0.749)
Ga (0.500, 0.500, 0.500)
Re (0.000, 0.000, 0.000)

energy relative to the elements	654	meV/atom
symmetry	R-3m (166)
DOS at the Fermi energy	0.67	states/eV/atom


Compound: YZr2Ge2
Source: the Alexandria database
Functional: GGA-PBE
Structure: relaxed

Cell: 8.299 8.299 3.086 Å, 90.00 90.00 90.00°
Last column: magnetic moment on the atom in μB.
Element x y z (fractional)
Y (0.000, 0.000, 0.000)  0.15
Y (0.500, 0.500, 0.000)  0.15
Zr (0.125, 0.375, 0.000)  0.01
Zr (0.875, 0.625, 0.000)  0.01
Zr (0.375, 0.875, 0.000)  0.00
Zr (0.625, 0.125, 0.000)  0.00
Ge (0.328, 0.172, 0.500)  0.00
Ge (0.672, 0.828, 0.500)  0.00
Ge (0.828, 0.328, 0.500)  0.00
Ge (0.172, 0.672, 0.500)  0.00

energy relative to the elements	-393	meV/atom
symmetry	P4/mbm (127)
energy above the lowest structure with this stoichiometry	337	meV/atom
DOS at the Fermi energy	0.82	states/eV/atom


Compound: RbNaRe2
Source: the Alexandria database
Functional: GGA-PBE
Structure: relaxed

Cell: 4.871 4.871 4.871 Å, 60.00 60.00 60.00°
Last column: magnetic moment on the atom in μB.
Element x y z (fractional)
Rb (0.500, 0.500, 0.500)  0.01
Na (0.000, 0.000, 0.000)  0.00
Re (0.250, 0.250, 0.250)  0.41
Re (0.750, 0.750, 0.750)  0.41

energy relative to the elements	2915	meV/atom
symmetry	Fm-3m (225)
energy above the lowest structure with this stoichiometry	729	meV/atom
DOS at the Fermi energy	2.78	states/eV/atom


Compound: Ac2TbNdO6
Source: the Alexandria database
Functional: GGA-PBE
Structure: relaxed

Cell: 6.113 6.313 8.852 Å, 90.00 90.17 90.00°
Element x y z (fractional)
O (0.801, 0.808, 0.568)
O (0.699, 0.308, 0.932)
O (0.372, 0.939, 0.745)
O (0.810, 0.800, 0.929)
O (0.310, 0.700, 0.429)
O (0.190, 0.200, 0.071)
O (0.628, 0.061, 0.255)
O (0.690, 0.300, 0.571)
O (0.199, 0.192, 0.432)
O (0.128, 0.439, 0.755)
O (0.872, 0.561, 0.245)
O (0.301, 0.692, 0.068)
Ac (0.984, 0.048, 0.749)
Ac (0.516, 0.548, 0.751)
Ac (0.484, 0.452, 0.249)
Ac (0.016, 0.952, 0.251)
Nd (0.500, 0.000, 0.000)
Nd (0.000, 0.500, 0.500)
Tb (0.000, 0.500, 0.000)
Tb (0.500, 0.000, 0.500)

symmetry	P2_1/c (14)
formation energy without anion corrections	-3.361	eV per atom
DOS at the Fermi energy	0.00	states/eV/atom


Compound: NdTm2B6
Source: the Alexandria database
Functional: GGA-PBE
Structure: relaxed

Cell: 3.901 5.708 5.708 Å, 120.00 90.00 90.00°
Element x y z (fractional)
Tm (0.000, 0.333, 0.667)
Tm (0.000, 0.667, 0.333)
Nd (0.000, 0.000, 0.000)
B (0.500, 0.340, 0.000)
B (0.500, 0.000, 0.660)
B (0.500, 0.660, 0.000)
B (0.500, 0.340, 0.340)
B (0.500, 0.660, 0.660)
B (0.500, 0.000, 0.340)

energy relative to the elements	-507	meV/atom
symmetry	P6/mmm (191)
DOS at the Fermi energy	0.40	states/eV/atom


Compound: Li2Si2Pb
Source: the Alexandria database
Functional: GGA-PBE
Structure: relaxed

Cell: 4.214 4.214 6.422 Å, 70.85 70.85 90.00°
Element x y z (fractional)
Pb (0.000, 0.000, 0.000)
Si (0.400, 0.400, 0.199)
Si (0.600, 0.600, 0.801)
Li (0.750, 0.250, 0.500)
Li (0.250, 0.750, 0.500)

symmetry	I4/mmm (139)
energy above the lowest structure with this stoichiometry	43	meV/atom
formation energy without anion corrections	0.033	eV per atom
DOS at the Fermi energy	0.46	states/eV/atom


Compound: Zr2ZnSe
Source: the Alexandria database
Functional: GGA-PBE
Structure: relaxed

Cell: 3.276 3.276 7.130 Å, 90.00 90.00 90.03°
Element x y z (fractional)
Zr (0.000, 0.000, 0.010)
Zr (0.000, 0.000, 0.490)
Se (0.500, 0.500, 0.250)
Zn (0.500, 0.500, 0.750)

symmetry	P4/mmm (123)
energy above the lowest structure with this stoichiometry	113	meV/atom
formation energy without anion corrections	-0.570	eV per atom
DOS at the Fermi energy	1.11	states/eV/atom


Compound: CeTe2P2Pd7
Source: the Alexandria database
Functional: GGA-PBE
Structure: relaxed

Cell: 4.543 4.543 11.517 Å, 87.65 87.65 98.47°
Last column: magnetic moment on the atom in μB.
Element x y z (fractional)
Ce (0.000, 0.000, 0.000)  0.76
P (0.308, 0.308, 0.183)  0.00
P (0.692, 0.692, 0.817)  0.00
Pd (0.572, 0.168, 0.781)  0.00
Pd (0.659, 0.659, 0.608)  0.01
Pd (0.168, 0.572, 0.781)  0.00
Pd (0.428, 0.832, 0.219)  0.00
Pd (0.500, 0.500, 0.000)  -0.01
Pd (0.832, 0.428, 0.219)  0.00
Pd (0.341, 0.341, 0.392)  0.01
Te (0.831, 0.831, 0.387)  0.01
Te (0.169, 0.169, 0.613)  0.01

symmetry	C2/m (12)
formation energy without anion corrections	-0.475	eV per atom
DOS at the Fermi energy	0.93	states/eV/atom